Record 1
First-principles (GGA-PBE) data for PmPr3Dy3 after structural relaxation, as listed in Alexandria via LeMat-Bulk.

Summary:
distance to the lowest polymorph of the same formula = 0 meV/atom
formation enthalpy at 0 K = 0.028 eV/atom
electronic total energy = -65.40 eV per cell
symmetry = P6_3/m (176)

Cell lengths 9.741, 9.741, 5.837 Å; angles 90.00, 90.00, 120.00 degrees
Atoms (fractional coordinates):
Pm 0.333 0.667 0.250
Pm 0.667 0.333 0.750
Pr 0.095 0.622 0.750
Pr 0.378 0.473 0.750
Pr 0.473 0.095 0.250
Pr 0.527 0.905 0.750
Pr 0.622 0.527 0.250
Pr 0.905 0.378 0.250
Dy 0.045 0.813 0.250
Dy 0.187 0.233 0.250
Dy 0.233 0.045 0.750
Dy 0.767 0.955 0.250
Dy 0.813 0.767 0.750
Dy 0.955 0.187 0.750


Record 2
First-principles (GGA-PBE) data for Pm8Pr5Dy after structural relaxation, as listed in Alexandria via LeMat-Bulk.

Summary:
formation enthalpy at 0 K = 0.233 eV/atom
electronic total energy = -63.24 eV per cell
symmetry = I-4 (82)

Cell lengths 8.648, 8.648, 8.648 Å; angles 110.74, 110.74, 106.97 degrees
Atoms (fractional coordinates):
Pm 0.163 0.429 0.100
Pm 0.329 0.063 0.900
Pm 0.423 0.165 0.397
Pm 0.571 0.671 0.734
Pm 0.768 0.026 0.603
Pm 0.835 0.232 0.257
Pm 0.937 0.837 0.266
Pm 0.974 0.577 0.743
Pr 0.000 0.000 0.000
Pr 0.212 0.315 0.682
Pr 0.470 0.788 0.103
Pr 0.633 0.530 0.318
Pr 0.685 0.367 0.897
Dy 0.250 0.750 0.500


Record 3
First-principles (GGA-PBE) data for Pm2Pr3Dy3 after structural relaxation, as listed in Alexandria via LeMat-Bulk.

Summary:
distance to the lowest polymorph of the same formula = 108 meV/atom
formation enthalpy at 0 K = 0.126 eV/atom
electronic total energy = -73.28 eV per cell
symmetry = Cmcm (63)

Cell lengths 6.659, 6.659, 16.220 Å; angles 90.00, 90.00, 129.78 degrees
Atoms (fractional coordinates):
Pm 0.221 0.779 0.628
Pm 0.221 0.779 0.872
Pm 0.779 0.221 0.128
Pm 0.779 0.221 0.372
Pr 0.075 0.925 0.095
Pr 0.075 0.925 0.405
Pr 0.266 0.734 0.250
Pr 0.734 0.266 0.750
Pr 0.925 0.075 0.595
Pr 0.925 0.075 0.905
Dy 0.380 0.620 0.050
Dy 0.380 0.620 0.450
Dy 0.459 0.541 0.750
Dy 0.541 0.459 0.250
Dy 0.620 0.380 0.550
Dy 0.620 0.380 0.950


Record 4
First-principles (GGA-PBE) data for Pm5Pr5Dy2 after structural relaxation, as listed in Alexandria via LeMat-Bulk.

Summary:
distance to the lowest polymorph of the same formula = 69 meV/atom
formation enthalpy at 0 K = 0.084 eV/atom
electronic total energy = -55.84 eV per cell
symmetry = C2/m (12)

Cell lengths 6.670, 6.670, 12.532 Å; angles 106.64, 106.64, 51.94 degrees
Atoms (fractional coordinates):
Pm 0.000 0.000 0.000
Pm 0.073 0.073 0.745
Pm 0.190 0.190 0.531
Pm 0.810 0.810 0.469
Pm 0.927 0.927 0.255
Pr 0.240 0.240 0.275
Pr 0.312 0.312 0.032
Pr 0.500 0.500 0.500
Pr 0.688 0.688 0.968
Pr 0.760 0.760 0.725
Dy 0.416 0.416 0.792
Dy 0.584 0.584 0.208


Record 5
First-principles (GGA-PBE) data for Pm3Pr12Dy after structural relaxation, as listed in Alexandria via LeMat-Bulk.

Summary:
formation enthalpy at 0 K = 0.011 eV/atom
electronic total energy = -76.03 eV per cell
symmetry = P4/mmm (123)

Cell lengths 5.221, 5.221, 20.851 Å; angles 90.00, 90.00, 90.00 degrees
Atoms (fractional coordinates):
Pm 0.000 0.000 0.000
Pm 0.000 0.000 0.251
Pm 0.000 0.000 0.749
Pr 0.000 0.500 0.125
Pr 0.000 0.500 0.376
Pr 0.000 0.500 0.624
Pr 0.000 0.500 0.875
Pr 0.500 0.000 0.125
Pr 0.500 0.000 0.376
Pr 0.500 0.000 0.624
Pr 0.500 0.000 0.875
Pr 0.500 0.500 0.000
Pr 0.500 0.500 0.251
Pr 0.500 0.500 0.500
Pr 0.500 0.500 0.749
Dy 0.000 0.000 0.500


Record 6
First-principles (GGA-PBE) data for Pm5PrDy after structural relaxation, as listed in Alexandria via LeMat-Bulk.

Summary:
formation enthalpy at 0 K = 0.983 eV/atom
electronic total energy = -26.26 eV per cell
symmetry = Immm (71)

Cell lengths 8.023, 8.023, 8.023 Å; angles 136.93, 113.72, 82.37 degrees
Atoms (fractional coordinates):
Pm 0.000 0.000 0.000
Pm 0.249 0.749 0.500
Pm 0.324 0.500 0.824
Pm 0.676 0.500 0.176
Pm 0.751 0.251 0.500
Pr 0.000 0.500 0.500
Dy 0.500 0.000 0.500


Record 7
First-principles (GGA-PBE) data for Pm2Pr3Dy3 after structural relaxation, as listed in Alexandria via LeMat-Bulk.

Summary:
distance to the lowest polymorph of the same formula = 0 meV/atom
formation enthalpy at 0 K = 0.018 eV/atom
electronic total energy = -37.50 eV per cell
symmetry = Immm (71)

Cell lengths 10.907, 10.907, 10.907 Å; angles 152.83, 152.72, 38.88 degrees
Atoms (fractional coordinates):
Pm 0.250 0.250 0.000
Pm 0.750 0.750 0.000
Pr 0.000 0.000 0.000
Pr 0.376 0.876 0.500
Pr 0.624 0.124 0.500
Dy 0.125 0.625 0.500
Dy 0.500 0.500 0.000
Dy 0.875 0.375 0.500


Record 8
First-principles (GGA-PBE) data for Pm2Pr2Dy15 after structural relaxation, as listed in Alexandria via LeMat-Bulk.

Summary:
formation enthalpy at 0 K = 0.271 eV/atom
electronic total energy = -82.94 eV per cell
symmetry = R-3m (166)

Cell lengths 8.720, 8.720, 8.720 Å; angles 82.46, 82.46, 82.46 degrees
Atoms (fractional coordinates):
Pm 0.150 0.150 0.150
Pm 0.850 0.850 0.850
Pr 0.387 0.387 0.387
Pr 0.613 0.613 0.613
Dy 0.000 0.500 0.500
Dy 0.158 0.500 0.842
Dy 0.158 0.842 0.500
Dy 0.166 0.166 0.694
Dy 0.166 0.694 0.166
Dy 0.306 0.834 0.834
Dy 0.500 0.000 0.500
Dy 0.500 0.158 0.842
Dy 0.500 0.500 0.000
Dy 0.500 0.842 0.158
Dy 0.694 0.166 0.166
Dy 0.834 0.306 0.834
Dy 0.834 0.834 0.306
Dy 0.842 0.158 0.500
Dy 0.842 0.500 0.158


Record 9
First-principles (GGA-PBE) data for Pm3PrDy after structural relaxation, as listed in Alexandria via LeMat-Bulk.

Summary:
distance to the lowest polymorph of the same formula = 0 meV/atom
formation enthalpy at 0 K = 0.015 eV/atom
electronic total energy = -47.11 eV per cell
symmetry = P-1 (2)

Cell lengths 6.298, 6.313, 9.634 Å; angles 102.54, 109.06, 99.71 degrees
Atoms (fractional coordinates):
Pm 0.100 0.302 0.101
Pm 0.298 0.398 0.797
Pm 0.299 0.902 0.301
Pm 0.701 0.098 0.699
Pm 0.702 0.602 0.203
Pm 0.900 0.698 0.899
Pr 0.500 0.000 0.000
Pr 0.500 0.500 0.500
Dy 0.099 0.800 0.598
Dy 0.901 0.200 0.402


Record 10
First-principles (GGA-PBE) data for Pm4PrDy after structural relaxation, as listed in Alexandria via LeMat-Bulk.

Summary:
distance to the lowest polymorph of the same formula = 0 meV/atom
formation enthalpy at 0 K = 0.016 eV/atom
electronic total energy = -28.29 eV per cell
symmetry = Pmmm (47)

Cell lengths 3.651, 5.134, 10.967 Å; angles 90.00, 90.00, 90.00 degrees
Atoms (fractional coordinates):
Pm 0.000 0.000 0.164
Pm 0.000 0.000 0.836
Pm 0.500 0.500 0.330
Pm 0.500 0.500 0.670
Pr 0.000 0.000 0.500
Dy 0.500 0.500 0.000


Record 11
First-principles (GGA-PBE) data for Pm3Pr5Dy2 after structural relaxation, as listed in Alexandria via LeMat-Bulk.

Summary:
distance to the lowest polymorph of the same formula = 0 meV/atom
formation enthalpy at 0 K = 0.168 eV/atom
electronic total energy = -91.36 eV per cell
symmetry = C2/c (15)

Cell lengths 9.264, 9.264, 10.195 Å; angles 108.43, 108.43, 107.70 degrees
Atoms (fractional coordinates):
Pm 0.020 0.980 0.750
Pm 0.221 0.472 0.443
Pm 0.472 0.221 0.943
Pm 0.528 0.779 0.057
Pm 0.779 0.528 0.557
Pm 0.980 0.020 0.250
Pr 0.123 0.370 0.747
Pr 0.228 0.772 0.750
Pr 0.269 0.731 0.250
Pr 0.370 0.123 0.247
Pr 0.479 0.521 0.250
Pr 0.521 0.479 0.750
Pr 0.630 0.877 0.753
Pr 0.731 0.269 0.750
Pr 0.772 0.228 0.250
Pr 0.877 0.630 0.253
Dy 0.031 0.277 0.058
Dy 0.277 0.031 0.558
Dy 0.723 0.969 0.442
Dy 0.969 0.723 0.942


Record 12
First-principles (GGA-PBE) data for Pm6Pr2Dy after structural relaxation, as listed in Alexandria via LeMat-Bulk.

Summary:
distance to the lowest polymorph of the same formula = 0 meV/atom
formation enthalpy at 0 K = 0.082 eV/atom
electronic total energy = -83.86 eV per cell
symmetry = C2/c (15)

Cell lengths 10.379, 10.379, 6.154 Å; angles 95.67, 95.67, 69.68 degrees
Atoms (fractional coordinates):
Pm 0.050 0.827 0.957
Pm 0.160 0.381 0.122
Pm 0.173 0.950 0.543
Pm 0.287 0.506 0.715
Pm 0.381 0.160 0.622
Pm 0.494 0.713 0.785
Pm 0.506 0.287 0.215
Pm 0.619 0.840 0.378
Pm 0.713 0.494 0.285
Pm 0.827 0.050 0.457
Pm 0.840 0.619 0.878
Pm 0.950 0.173 0.043
Pr 0.010 0.318 0.583
Pr 0.318 0.010 0.083
Pr 0.682 0.990 0.917
Pr 0.990 0.682 0.417
Dy 0.354 0.646 0.250
Dy 0.646 0.354 0.750


Q: Which value of formation enthalpy at 0 K does entry 4 give?
A: 0.084 eV/atom


Q: Among the records above, which one has the highest electronic total energy?
A: Pm5PrDy


Q: What is the electronic total energy in the second record?
A: -63.24 eV per cell


Q: Which of these has the lowest electronic total energy?
A: Pm3Pr5Dy2